Here is a geometry-optimized HfCoNO2 structure from Alexandria via LeMat-Bulk. Energies are from PBE+U.

## Properties
electronic total energy: -37.9 eV per formula unit
density of states at the Fermi level: 0.099 states/eV/atom
crystal system: tetragonal

a = 3.5804 Å, b = 3.5804 Å, c = 3.7806 Å
α = 90.00°, β = 90.00°, γ = 90.00°
Positions (direct):
Hf 0.0000 0.0000 0.0000
Co 0.5000 0.5000 0.5000
N 0.5000 0.5000 0.0000
O 0.0000 0.5000 0.5000
O 0.5000 0.0000 0.5000